A geometry-optimized RbCuRhF6 structure. Source: Alexandria via LeMat-Bulk, functional PBE.

Output
The crystal system is orthorhombic. The calculation puts the energy relative to the elements, uncorrected at -1861 meV/atom. The calculation puts the total magnetic moment at 2.03 μB per cell. The calculation puts the energy at -0.165 hartree per atom.

Unit cell a=7.247 b=7.398 c=7.474 alpha=119.67 beta=119.00 gamma=90.00
Each line ends with the local moment (μB).
Fractional positions:
F: 0.188 0.938 0.375  0.10
F: 0.812 0.062 0.625  0.10
F: 0.174 0.335 0.760  0.03
F: 0.414 0.074 0.240  0.03
F: 0.826 0.074 0.240  0.03
F: 0.174 0.926 0.760  0.03
Rb: 0.098 0.348 0.197  0.00
Rb: 0.902 0.652 0.803  0.00
F: 0.586 0.335 0.760  0.03
F: 0.826 0.665 0.240  0.03
F: 0.576 0.326 0.151  0.00
Rh: 0.500 0.000 0.000  0.10
Rh: 0.500 0.500 0.000  0.10
Cu: 0.500 0.000 0.500  0.67
F: 0.586 0.926 0.760  0.03
Cu: 0.000 0.000 0.500  0.67
F: 0.424 0.674 0.849  0.00
F: 0.414 0.665 0.240  0.03